Run i
# Sm2YTm3 | Alexandria | PBE | relaxed
# Calculated density (g/cm³): 7.70
# Size of the total moment (μB/cell): 0.00
# Crystal system: monoclinic
data_Sm2YTm3
_chemical_formula_sum 'Sm8 Y4 Tm12'
_cell_length_a 17.7043
_cell_length_b 3.4882
_cell_length_c 14.0976
_cell_angle_alpha 90.00
_cell_angle_beta 117.36
_cell_angle_gamma 90.00
_space_group_name_H-M_alt 'C 1 2/m 1'
_space_group_IT_number 12
loop_
_space_group_symop_operation_xyz
'x,y,z'
'-x,-y,-z'
'-x,y,-z'
'x,-y,z'
'x+1/2,y+1/2,z'
'-x+1/2,-y+1/2,-z'
'-x+1/2,y+1/2,-z'
'x+1/2,-y+1/2,z'
loop_
_atom_site_label
_atom_site_fract_x
_atom_site_fract_y
_atom_site_fract_z
_atom_site_occupancy
Sm1 0.1571 0.0000 0.4690 1
Sm2 0.1806 0.5000 0.8824 1
Y1 0.0624 0.0000 0.6434 1
Tm1 0.0394 0.5000 0.2091 1
Tm2 0.0982 0.0000 0.0255 1
Tm3 0.2371 0.0000 0.2914 1

Run ii
# Sm2YTm3 | Alexandria | PBE | relaxed
# Calculated density (g/cm³): 7.67
# Size of the total moment (μB/cell): 0.00
# Crystal system: monoclinic
data_Sm2YTm3
_chemical_formula_sum 'Sm8 Y4 Tm12'
_cell_length_a 23.0968
_cell_length_b 3.4848
_cell_length_c 10.1608
_cell_angle_alpha 90.00
_cell_angle_beta 108.39
_cell_angle_gamma 90.00
_space_group_name_H-M_alt 'C 1 2/m 1'
_space_group_IT_number 12
loop_
_space_group_symop_operation_xyz
'x,y,z'
'-x,-y,-z'
'-x,y,-z'
'x,-y,z'
'x+1/2,y+1/2,z'
'-x+1/2,-y+1/2,-z'
'-x+1/2,y+1/2,-z'
'x+1/2,-y+1/2,z'
loop_
_atom_site_label
_atom_site_fract_x
_atom_site_fract_y
_atom_site_fract_z
_atom_site_occupancy
Sm1 0.0685 0.0000 0.1360 1
Sm2 0.1911 0.5000 0.3718 1
Y1 0.1879 0.5000 0.0370 1
Tm1 0.0585 0.5000 0.4442 1
Tm2 0.0699 0.0000 0.7620 1
Tm3 0.1945 0.5000 0.7144 1

Quick one: least stable of them? run ii